Entry a
The following is a PBE-GGA calculation of crystalline U3Zn4 at its relaxed geometry, from the Open Quantum Materials Database.

Computed properties:
Its total magnetic moment is 5.8 μB per formula unit.

```
data_U3Zn4
_chemical_formula_sum 'U6 Zn8'
_cell_length_a 8.2842
_cell_length_b 4.3869
_cell_length_c 8.2852
_cell_angle_alpha 90.00
_cell_angle_beta 119.99
_cell_angle_gamma 90.00
_symmetry_space_group_name_H-M 'P 1 m 1'
_symmetry_Int_Tables_number 6
_symmetry_space_group_name_Hall 'P -2y'
loop_
_atom_site_label
_atom_site_type_symbol
_atom_site_fract_x
_atom_site_fract_y
_atom_site_fract_z
U1 U 0.0000 0.0000 0.0000
U2 U 0.0618 0.5000 0.2013
U3 U 0.1304 0.0000 0.6699
U4 U 0.4603 0.0000 0.1318
U5 U 0.5997 0.5000 0.0703
U6 U 0.9296 0.5000 0.5305
Zn1 Zn 0.1969 0.5000 0.9334
Zn2 Zn 0.3274 0.0000 0.4218
Zn3 Zn 0.3512 0.5000 0.6249
Zn4 Zn 0.5069 0.5000 0.3979
Zn5 Zn 0.5546 0.0000 0.8044
Zn6 Zn 0.7100 0.0000 0.5770
Zn7 Zn 0.7341 0.5000 0.7805
Zn8 Zn 0.8635 0.0000 0.2668
```


Entry b
The following is a PBE-GGA calculation of crystalline U3Zn4 at its relaxed geometry, from the Open Quantum Materials Database.

Computed properties:
Its total magnetic moment is 1.5 μB per formula unit.

```
data_U3Zn4
_chemical_formula_sum 'U6 Zn8'
_cell_length_a 8.6470
_cell_length_b 3.7219
_cell_length_c 8.6687
_cell_angle_alpha 90.00
_cell_angle_beta 119.77
_cell_angle_gamma 90.00
_symmetry_space_group_name_H-M 'P 1 21/m 1'
_symmetry_Int_Tables_number 11
_symmetry_space_group_name_Hall '-P 2yb'
loop_
_atom_site_label
_atom_site_type_symbol
_atom_site_fract_x
_atom_site_fract_y
_atom_site_fract_z
U1 U 0.1317 0.2500 0.3668
U2 U 0.1340 0.2500 0.7670
U3 U 0.2660 0.7500 0.6338
Zn1 Zn 0.1074 0.7500 0.0542
Zn2 Zn 0.3332 0.2500 0.1669
Zn3 Zn 0.4460 0.7500 0.0533
Zn4 Zn 0.4469 0.7500 0.3929
```


On energetic grounds, entry b is preferred over the next structure by 3.8 kJ/mol of atoms.


Entry a
The following is a PBE-GGA calculation of crystalline Y at its relaxed geometry, from the Open Quantum Materials Database.

Computed properties:
Its total magnetic moment is 0.1 μB per formula unit.

```
data_Y
_chemical_formula_sum 'Y16'
_cell_length_a 3.6022
_cell_length_b 6.0606
_cell_length_c 23.5596
_cell_angle_alpha 90.00
_cell_angle_beta 90.00
_cell_angle_gamma 90.00
_symmetry_space_group_name_H-M 'F d d d'
_symmetry_Int_Tables_number 70
loop_
_symmetry_equiv_pos_as_xyz
'x,y,z'
'-x,-y,-z'
'-x+1/4,-y+1/4,z'
'x+1/4,y+1/4,-z'
'x,-y+1/4,-z+1/4'
'-x,y+1/4,z+1/4'
'-x+1/4,y,-z+1/4'
'x+1/4,-y,z+1/4'
'x,y+1/2,z+1/2'
'-x,-y+1/2,-z+1/2'
'-x+1/4,-y+3/4,z+1/2'
'x+1/4,y+3/4,-z+1/2'
'x,-y+3/4,-z+3/4'
'-x,y+3/4,z+3/4'
'-x+1/4,y+1/2,-z+3/4'
'x+1/4,-y+1/2,z+3/4'
'x+1/2,y,z+1/2'
'-x+1/2,-y,-z+1/2'
'-x+3/4,-y+1/4,z+1/2'
'x+3/4,y+1/4,-z+1/2'
'x+1/2,-y+1/4,-z+3/4'
'-x+1/2,y+1/4,z+3/4'
'-x+3/4,y,-z+3/4'
'x+3/4,-y,z+3/4'
'x+1/2,y+1/2,z'
'-x+1/2,-y+1/2,-z'
'-x+3/4,-y+3/4,z'
'x+3/4,y+3/4,-z'
'x+1/2,-y+3/4,-z+1/4'
'-x+1/2,y+3/4,z+1/4'
'-x+3/4,y+1/2,-z+1/4'
'x+3/4,-y+1/2,z+1/4'
loop_
_atom_site_label
_atom_site_type_symbol
_atom_site_fract_x
_atom_site_fract_y
_atom_site_fract_z
Y1 Y 0.1250 0.1250 0.3128
```


Entry b
The following is a PBE-GGA calculation of crystalline Y at its relaxed geometry, from the Open Quantum Materials Database.

Computed properties:
Its total magnetic moment is 0.0 μB per formula unit.

```
data_Y
_chemical_formula_sum 'Y4'
_cell_length_a 6.2922
_cell_length_b 3.6502
_cell_length_c 5.6574
_cell_angle_alpha 90.00
_cell_angle_beta 90.14
_cell_angle_gamma 90.00
_symmetry_space_group_name_H-M 'C 1 2/m 1'
_symmetry_Int_Tables_number 12
_symmetry_space_group_name_Hall '-C 2y'
loop_
_atom_site_label
_atom_site_type_symbol
_atom_site_fract_x
_atom_site_fract_y
_atom_site_fract_z
Y1 Y 0.1701 0.0000 0.2498
```


Entry c
The following is a PBE-GGA calculation of crystalline Y at its relaxed geometry, from the Open Quantum Materials Database.

Computed properties:
Its total magnetic moment is 0.0 μB per formula unit.

```
data_Y
_chemical_formula_sum 'Y8'
_cell_length_a 5.7017
_cell_length_b 12.4062
_cell_length_c 3.7049
_cell_angle_alpha 90.00
_cell_angle_beta 90.00
_cell_angle_gamma 90.00
_symmetry_space_group_name_H-M 'C m c e'
_symmetry_Int_Tables_number 64
_symmetry_space_group_name_Hall '-C 2ac 2'
loop_
_atom_site_label
_atom_site_type_symbol
_atom_site_fract_x
_atom_site_fract_y
_atom_site_fract_z
Y1 Y 0.0000 0.1377 0.0019
```


On energetic grounds, entry b is preferred over the next structure by 11.4 kJ/mol of atoms.


Entry a
The following is a PBE-GGA calculation of crystalline Y at its relaxed geometry, from the Open Quantum Materials Database.

Computed properties:
Its total magnetic moment is 0.0 μB per formula unit.

```
data_Y
_chemical_formula_sum 'Y2'
_cell_length_a 3.5346
_cell_length_b 3.5346
_cell_length_c 5.1426
_cell_angle_alpha 90.00
_cell_angle_beta 90.00
_cell_angle_gamma 90.00
_symmetry_space_group_name_H-M 'I 4/m m m'
_symmetry_Int_Tables_number 139
_symmetry_space_group_name_Hall '-I 4 2'
loop_
_atom_site_label
_atom_site_type_symbol
_atom_site_fract_x
_atom_site_fract_y
_atom_site_fract_z
Y1 Y 0.0000 0.0000 0.0000
```


Entry b
The following is a PBE-GGA calculation of crystalline Y at its relaxed geometry, from the Open Quantum Materials Database.

Computed properties:
Its total magnetic moment is 0.9 μB per formula unit.

```
data_Y
_chemical_formula_sum 'Y8'
_cell_length_a 6.4547
_cell_length_b 6.4547
_cell_length_c 6.4547
_cell_angle_alpha 90.00
_cell_angle_beta 90.00
_cell_angle_gamma 90.00
_symmetry_space_group_name_H-M 'P m -3 n'
_symmetry_Int_Tables_number 223
_symmetry_space_group_name_Hall '-P 4n 2 3'
loop_
_atom_site_label
_atom_site_type_symbol
_atom_site_fract_x
_atom_site_fract_y
_atom_site_fract_z
Y1 Y 0.0000 0.0000 0.0000
Y2 Y 0.0000 0.2500 0.5000
```


On energetic grounds, entry a is preferred over the next structure by 19.5 kJ/mol of atoms.